Entry 1:
Below is a relaxed P2IrRu crystal, with properties calculated at the PBE level.

a = 4.119 Å, b = 4.119 Å, c = 4.708 Å
α = 77.41°, β = 77.41°, γ = 49.28°
Positions (direct):
1 Ir 0.251 0.251 0.244
2 P 0.990 0.990 0.021
3 P 0.783 0.783 0.577
4 Ru 0.477 0.477 0.658

Output
As for the symmetry: Cm (8). Its energy relative to the elements is -0.2908 eV/atom. For the magnetization, the calculation gives 0.00 μB per cell. As for the crystal system: monoclinic. The excess energy over the best structure of this formula in the dataset is 172 meV/atom. As for the calculated volume: 58.8 Å³ per cell.



Entry 2:
Below is a relaxed Rb2CaMn crystal, with properties calculated at the PBE level.

a = 6.620 Å, b = 6.620 Å, c = 6.620 Å
α = 60.00°, β = 60.00°, γ = 60.00°
Last column: magnetic moment on the atom in μB.
Positions (direct):
1 Mn 0.500 0.500 0.500  4.30
2 Rb 0.250 0.250 0.250  -0.01
3 Rb 0.750 0.750 0.750  -0.01
4 Ca 0.000 0.000 0.000  -0.06

Output
As for the symmetry: Fm-3m (225). Its energy relative to the elements is 0.8210 eV/atom. For the magnetization, the calculation gives 4.17 μB per cell. As for the crystal system: cubic. As for the calculated volume: 205.2 Å³ per cell.



Entry 3:
Below is a relaxed HfMg6GaO8 crystal, with properties calculated at the PBE level.

a = 4.410 Å, b = 4.410 Å, c = 9.145 Å
α = 90.00°, β = 90.00°, γ = 90.00°
Positions (direct):
1 O 0.500 0.000 0.500
2 O 0.500 0.500 0.243
3 O 0.000 0.500 0.500
4 O 0.000 0.000 0.275
5 O 0.500 0.500 0.757
6 O 0.500 0.000 0.000
7 O 0.000 0.500 0.000
8 O 0.000 0.000 0.725
9 Mg 0.000 0.500 0.766
10 Mg 0.500 0.500 0.000
11 Mg 0.500 0.000 0.234
12 Mg 0.500 0.500 0.500
13 Mg 0.000 0.500 0.234
14 Mg 0.500 0.000 0.766
15 Ga 0.000 0.000 0.000
16 Hf 0.000 0.000 0.500

Output
As for the symmetry: P4/mmm (123). For the magnetization, the calculation gives 0.00 μB per cell. As for the crystal system: tetragonal. The excess energy over the best structure of this formula in the dataset is 6 meV/atom. As for the calculated volume: 177.9 Å³ per cell. The calculation puts the raw formation energy at -220 kJ/mol of atoms.



Entry 4:
Below is a relaxed TbNdDyPu crystal, with properties calculated at the PBE level.

a = 5.641 Å, b = 5.641 Å, c = 5.641 Å
α = 60.00°, β = 60.00°, γ = 60.00°
Last column: magnetic moment on the atom in μB.
Positions (direct):
1 Nd 0.250 0.250 0.250  0.25
2 Pu 0.000 0.000 0.000  5.64
3 Tb 0.750 0.750 0.750  0.33
4 Dy 0.500 0.500 0.500  0.34

Output
As for the symmetry: F-43m (216). Its energy relative to the elements is 0.2113 eV/atom. For the magnetization, the calculation gives 7.47 μB per cell. As for the crystal system: cubic. As for the calculated volume: 126.9 Å³ per cell.



Entry 5:
Below is a relaxed Tb2DyTlN crystal, with properties calculated at the PBE level.

a = 4.822 Å, b = 4.851 Å, c = 4.851 Å
α = 90.00°, β = 90.00°, γ = 90.00°
Positions (direct):
1 Tl 0.500 0.500 0.500
2 Tb 0.000 0.500 0.000
3 Tb 0.000 0.000 0.500
4 N 0.000 0.000 0.000
5 Dy 0.500 0.000 0.000

Output
As for the symmetry: P4/mmm (123). For the magnetization, the calculation gives 0.00 μB per cell. As for the crystal system: tetragonal. As for the calculated volume: 113.5 Å³ per cell. The calculation puts the raw formation energy at -90 kJ/mol of atoms.



Entry 6:
Below is a relaxed Dy8Er2Pu crystal, with properties calculated at the PBE level.

a = 5.595 Å, b = 10.004 Å, c = 10.004 Å
α = 39.82°, β = 92.27°, γ = 92.27°
Last column: magnetic moment on the atom in μB.
Positions (direct):
1 Dy 0.238 0.185 0.185  -0.01
2 Dy 0.737 0.396 0.866  0.00
3 Dy 0.263 0.134 0.604  0.00
4 Dy 0.263 0.604 0.134  0.00
5 Dy 0.762 0.815 0.815  -0.01
6 Dy 0.737 0.866 0.396  0.00
7 Dy 0.238 0.547 0.547  0.02
8 Dy 0.762 0.453 0.453  0.02
9 Er 0.752 0.283 0.283  -0.14
10 Er 0.248 0.717 0.717  -0.14
11 Pu 0.000 0.000 0.000  5.68

Output
As for the symmetry: C2/m (12). Its energy relative to the elements is 0.1939 eV/atom. For the magnetization, the calculation gives 5.91 μB per cell. As for the crystal system: monoclinic. The excess energy over the best structure of this formula in the dataset is 150 meV/atom. As for the calculated volume: 358.3 Å³ per cell.



Entry 7:
Below is a relaxed CaDy5Se6 crystal, with properties calculated at the PBE level.

a = 7.098 Å, b = 7.061 Å, c = 7.081 Å
α = 60.09°, β = 80.46°, γ = 70.58°
Positions (direct):
1 Ca 0.000 0.000 0.000
2 Se 0.252 0.582 0.333
3 Se 0.748 0.418 0.667
4 Se 0.248 0.251 0.000
5 Se 0.252 0.916 0.667
6 Se 0.748 0.084 0.333
7 Se 0.752 0.749 0.000
8 Dy 0.000 0.668 0.665
9 Dy 0.500 0.166 0.669
10 Dy 0.500 0.500 0.000
11 Dy 0.500 0.834 0.331
12 Dy 0.000 0.332 0.335

Output
As for the symmetry: C2/m (12). For the magnetization, the calculation gives 0.00 μB per cell. As for the crystal system: monoclinic. As for the calculated volume: 290.1 Å³ per cell. The calculation puts the raw formation energy at -172 kJ/mol of atoms.



Entry 8:
Below is a relaxed Pm2Nd6Ho3Tm crystal, with properties calculated at the PBE level.

a = 6.285 Å, b = 6.285 Å, c = 11.920 Å
α = 95.03°, β = 95.03°, γ = 120.00°
Positions (direct):
1 Ho 0.166 0.834 0.500
2 Ho 0.834 0.166 0.500
3 Ho 0.500 0.500 0.500
4 Nd 0.084 0.416 0.252
5 Nd 0.752 0.752 0.252
6 Nd 0.416 0.084 0.252
7 Nd 0.916 0.584 0.748
8 Nd 0.248 0.248 0.748
9 Nd 0.584 0.916 0.748
10 Pm 0.333 0.667 0.000
11 Pm 0.667 0.333 0.000
12 Tm 0.000 0.000 0.000

Output
As for the symmetry: C2/m (12). Its energy relative to the elements is 0.0134 eV/atom. For the magnetization, the calculation gives 0.00 μB per cell. As for the crystal system: monoclinic. As for the calculated volume: 401.5 Å³ per cell.



Entry 9:
Below is a relaxed YZnIrRu crystal, with properties calculated at the PBE level.

a = 4.783 Å, b = 3.083 Å, c = 10.232 Å
α = 90.00°, β = 113.59°, γ = 90.00°
Positions (direct):
1 Zn 0.774 0.000 0.222
2 Zn 0.774 0.500 0.722
3 Ru 0.281 0.500 0.265
4 Ru 0.281 0.000 0.765
5 Y 0.137 0.000 0.004
6 Y 0.137 0.500 0.504
7 Ir 0.634 0.000 0.482
8 Ir 0.634 0.500 0.982

Output
As for the symmetry: Cm (8). Its energy relative to the elements is -0.1996 eV/atom. For the magnetization, the calculation gives 0.00 μB per cell. As for the crystal system: monoclinic. The excess energy over the best structure of this formula in the dataset is 115 meV/atom. As for the calculated volume: 138.3 Å³ per cell.



Entry 10:
Below is a relaxed Np2BiPt crystal, with properties calculated at the PBE level.

a = 4.684 Å, b = 4.443 Å, c = 4.443 Å
α = 90.00°, β = 90.00°, γ = 90.00°
Last column: magnetic moment on the atom in μB.
Positions (direct):
1 Np 0.000 0.500 0.000  4.23
2 Np 0.000 0.000 0.500  4.23
3 Bi 0.500 0.000 0.000  -0.07
4 Pt 0.500 0.500 0.500  0.04

Output
As for the symmetry: P4/mmm (123). Its energy relative to the elements is -0.1079 eV/atom. For the magnetization, the calculation gives 9.05 μB per cell. As for the crystal system: tetragonal. The excess energy over the best structure of this formula in the dataset is 68 meV/atom. As for the calculated volume: 92.4 Å³ per cell.



Entry 11:
Below is a relaxed CaCd5Ag2 crystal, with properties calculated at the PBE level.

a = 4.390 Å, b = 6.998 Å, c = 6.998 Å
α = 74.35°, β = 71.72°, γ = 71.72°
Positions (direct):
1 Ca 0.000 0.000 0.000
2 Ag 0.275 0.225 0.225
3 Ag 0.725 0.775 0.775
4 Cd 0.650 0.165 0.535
5 Cd 0.350 0.465 0.835
6 Cd 0.650 0.535 0.165
7 Cd 0.350 0.835 0.465
8 Cd 0.000 0.500 0.500

Output
As for the symmetry: Immm (71). Its energy relative to the elements is -0.1378 eV/atom. For the magnetization, the calculation gives 0.00 μB per cell. As for the crystal system: orthorhombic. As for the calculated volume: 190.3 Å³ per cell.



Entry 12:
Below is a relaxed Tm5Ni2Pb crystal, with properties calculated at the PBE level.

a = 7.583 Å, b = 7.583 Å, c = 8.566 Å
α = 116.27°, β = 116.27°, γ = 90.00°
Positions (direct):
1 Pb 0.750 0.750 0.500
2 Pb 0.250 0.250 0.500
3 Tm 0.025 0.525 0.733
4 Tm 0.500 0.500 0.000
5 Tm 0.525 0.708 0.733
6 Tm 0.000 0.000 0.000
7 Tm 0.475 0.292 0.267
8 Tm 0.975 0.475 0.267
9 Tm 0.292 0.792 0.267
10 Tm 0.208 0.025 0.733
11 Tm 0.708 0.208 0.733
12 Tm 0.792 0.975 0.267
13 Ni 0.130 0.370 0.000
14 Ni 0.630 0.130 0.000
15 Ni 0.370 0.870 0.000
16 Ni 0.870 0.630 0.000

Output
As for the symmetry: I4/mcm (140). Its energy relative to the elements is -0.4105 eV/atom. For the magnetization, the calculation gives 0.00 μB per cell. As for the crystal system: tetragonal. As for the calculated volume: 384.1 Å³ per cell.